A geometry-optimized Re3P structure, computed with GGA-PBEsol.

## Properties
Total moment (μB per formula unit): 0.00
D(E_F) (states/eV per cell): 17.16
ΔE to the lowest computed polymorph (eV/atom): 0.5040
Formation energy (kJ/mol of atoms): 32.99

CIF file:
```
data_Re3P
_chemical_formula_sum 'Re12 P4'
_space_group_name_H-M_alt 'F m -3 m'
_space_group_IT_number 225
_space_group_name_Hall '-F 4 2 3'
_cell_length_a 6.083
_cell_length_b 6.083
_cell_length_c 6.083
_cell_angle_alpha 90.00
_cell_angle_beta 90.00
_cell_angle_gamma 90.00
loop_
_atom_site_label
_atom_site_type_symbol
_atom_site_fract_x
_atom_site_fract_y
_atom_site_fract_z
Re1 Re 0.000 0.000 0.000
Re2 Re 0.250 0.250 0.250
P1 P 0.000 0.000 0.500
```

A geometry-optimized Ca2CuB2H12O12 structure, computed with GGA-PBEsol.

## Properties
Total moment (μB per formula unit): 1.00
Calculated total energy (eV/atom): -5.90

CIF file:
```
data_Ca2CuB2H12O12
_chemical_formula_sum 'Ca2 Cu1 B2 H12 O12'
_space_group_name_H-M_alt 'P -1'
_space_group_IT_number 2
_cell_length_a 5.600
_cell_length_b 5.601
_cell_length_c 7.974
_cell_angle_alpha 70.35
_cell_angle_beta 83.97
_cell_angle_gamma 89.35
loop_
_space_group_symop_operation_xyz
'x,y,z'
'-x,-y,-z'
loop_
_atom_site_label
_atom_site_type_symbol
_atom_site_fract_x
_atom_site_fract_y
_atom_site_fract_z
Ca1 Ca 0.003 0.276 0.240
Cu1 Cu 0.500 0.500 0.000
B1 B 0.222 0.254 0.591
H1 H 0.140 0.683 0.382
H2 H 0.211 0.809 0.044
H3 H 0.282 0.292 0.834
H4 H 0.446 0.058 0.105
H5 H 0.463 0.467 0.365
H6 H 0.483 0.978 0.393
O1 O 0.033 0.822 0.394
O2 O 0.193 0.649 0.021
O3 O 0.266 0.406 0.706
O4 O 0.289 0.410 0.402
O5 O 0.324 0.179 0.051
O6 O 0.346 0.012 0.649
```

A geometry-optimized LaMn2Fe structure, computed with GGA-PBEsol.

## Properties
Total moment (μB per formula unit): 8.82
D(E_F) (states/eV per cell): 7.63
ΔE to the lowest computed polymorph (eV/atom): 0.0399
Formation energy (kJ/mol of atoms): 59.36

CIF file:
```
data_LaMn2Fe
_chemical_formula_sum 'La2 Mn4 Fe2'
_space_group_name_H-M_alt 'I -4 m 2'
_space_group_IT_number 119
_space_group_name_Hall 'I -4 -2'
_cell_length_a 4.034
_cell_length_b 4.034
_cell_length_c 8.105
_cell_angle_alpha 90.00
_cell_angle_beta 90.00
_cell_angle_gamma 90.00
loop_
_atom_site_label
_atom_site_type_symbol
_atom_site_fract_x
_atom_site_fract_y
_atom_site_fract_z
La1 La 0.000 0.000 0.000
Mn1 Mn 0.000 0.000 0.500
Mn2 Mn 0.000 0.500 0.250
Fe1 Fe 0.000 0.500 0.750
```

A geometry-optimized LaAl2Ni structure, computed with GGA-PBEsol.

## Properties
Total moment (μB per formula unit): 0.00
D(E_F) (states/eV per cell): 11.27
Formation energy (kJ/mol of atoms): -44.30

CIF file:
```
data_LaAl2Ni
_chemical_formula_sum 'La3 Al6 Ni3'
_space_group_name_H-M_alt 'R 3 m'
_space_group_IT_number 160
_space_group_name_Hall 'R 3 -2"'
_cell_length_a 4.1968
_cell_length_b 4.1968
_cell_length_c 15.9765
_cell_angle_alpha 90.00
_cell_angle_beta 90.00
_cell_angle_gamma 120.00
loop_
_atom_site_label
_atom_site_type_symbol
_atom_site_fract_x
_atom_site_fract_y
_atom_site_fract_z
La1 La 0.0000 0.0000 0.0000
Al1 Al 0.0000 0.0000 0.2012
Al2 Al 0.0000 0.0000 0.4712
Ni1 Ni 0.0000 0.0000 0.8156
```

A geometry-optimized TaReAg2 structure, computed with GGA-PBEsol.

## Properties
Total moment (μB per formula unit): 0.00
D(E_F) (states/eV per cell): 1.37
ΔE to the lowest computed polymorph (eV/atom): 0.0000
Formation energy (kJ/mol of atoms): 26.80

CIF file:
```
data_TaReAg2
_chemical_formula_sum 'Ta1 Re1 Ag2'
_space_group_name_H-M_alt 'P 4 m m'
_space_group_IT_number 99
_cell_length_a 3.295
_cell_length_b 3.295
_cell_length_c 6.035
_cell_angle_alpha 90.00
_cell_angle_beta 90.00
_cell_angle_gamma 90.00
loop_
_space_group_symop_operation_xyz
'x,y,z'
'-y,x,z'
'-x,-y,z'
'y,-x,z'
'-x,y,z'
'y,x,z'
'x,-y,z'
'-y,-x,z'
loop_
_atom_site_label
_atom_site_type_symbol
_atom_site_fract_x
_atom_site_fract_y
_atom_site_fract_z
Ta1 Ta 0.000 0.000 0.000
Re1 Re 0.500 0.500 0.791
Ag1 Ag 0.000 0.000 0.513
Ag2 Ag 0.500 0.500 0.281
```

A geometry-optimized YTaSn3 structure, computed with GGA-PBEsol.

## Properties
Total moment (μB per formula unit): 2.38
D(E_F) (states/eV per cell): 5.69
Formation energy (kJ/mol of atoms): 142.35

CIF file:
```
data_YTaSn3
_chemical_formula_sum 'Y1 Ta1 Sn3'
_space_group_name_H-M_alt 'P m -3 m'
_space_group_IT_number 221
_space_group_name_Hall '-P 4 2 3'
_cell_length_a 5.461
_cell_length_b 5.461
_cell_length_c 5.461
_cell_angle_alpha 90.00
_cell_angle_beta 90.00
_cell_angle_gamma 90.00
loop_
_atom_site_label
_atom_site_type_symbol
_atom_site_fract_x
_atom_site_fract_y
_atom_site_fract_z
Y1 Y 0.000 0.000 0.000
Ta1 Ta 0.500 0.500 0.500
Sn1 Sn 0.000 0.000 0.500
```

A geometry-optimized TeOsPt structure, computed with GGA-PBEsol.

## Properties
Total moment (μB per formula unit): 0.00
D(E_F) (states/eV per cell): 6.02
ΔE to the lowest computed polymorph (eV/atom): 0.0409
Raw formation energy (kJ per mole of atoms): 63.2

CIF file:
```
data_TeOsPt
_chemical_formula_sum 'Te2 Os2 Pt2'
_space_group_name_H-M_alt 'I m m 2'
_space_group_IT_number 44
_cell_length_a 3.009
_cell_length_b 3.728
_cell_length_c 9.073
_cell_angle_alpha 90.00
_cell_angle_beta 90.00
_cell_angle_gamma 90.00
loop_
_space_group_symop_operation_xyz
'x,y,z'
'-x,-y,z'
'-x,y,z'
'x,-y,z'
'x+1/2,y+1/2,z+1/2'
'-x+1/2,-y+1/2,z+1/2'
'-x+1/2,y+1/2,z+1/2'
'x+1/2,-y+1/2,z+1/2'
loop_
_atom_site_label
_atom_site_type_symbol
_atom_site_fract_x
_atom_site_fract_y
_atom_site_fract_z
Te1 Te 0.000 0.000 0.000
Os1 Os 0.000 0.000 0.642
Pt1 Pt 0.000 0.000 0.314
```

A geometry-optimized CaZnGe2O6 structure, computed with GGA-PBEsol.

## Properties
Total moment (μB per formula unit): 0.00
D(E_F) (states/eV per cell): 0.00
Raw formation energy (kJ per mole of atoms): -191.1

CIF file:
```
data_CaZnGe2O6
_chemical_formula_sum 'Ca4 Zn4 Ge8 O24'
_space_group_name_H-M_alt 'C 1 2/c 1'
_space_group_IT_number 15
_cell_length_a 10.180
_cell_length_b 8.920
_cell_length_c 5.430
_cell_angle_alpha 90.00
_cell_angle_beta 105.06
_cell_angle_gamma 90.00
loop_
_space_group_symop_operation_xyz
'x,y,z'
'-x,-y,-z'
'-x,y,-z+1/2'
'x,-y,z+1/2'
'x+1/2,y+1/2,z'
'-x+1/2,-y+1/2,-z'
'-x+1/2,y+1/2,-z+1/2'
'x+1/2,-y+1/2,z+1/2'
loop_
_atom_site_label
_atom_site_type_symbol
_atom_site_fract_x
_atom_site_fract_y
_atom_site_fract_z
Ca1 Ca 0.000 0.194 0.250
Zn1 Zn 0.000 0.408 0.750
Ge1 Ge 0.216 0.099 0.773
O1 O 0.107 0.407 0.134
O2 O 0.138 0.265 0.652
O3 O 0.140 0.031 0.016
```

A geometry-optimized YZr2Zn structure, computed with GGA-PBEsol.

## Properties
Total moment (μB per formula unit): 0.00
D(E_F) (states/eV per cell): 4.37
Formation energy (kJ/mol of atoms): -10.66

CIF file:
```
data_YZr2Zn
_chemical_formula_sum 'Y1 Zr2 Zn1'
_space_group_name_H-M_alt 'P 4 m m'
_space_group_IT_number 99
_cell_length_a 3.275
_cell_length_b 3.275
_cell_length_c 8.157
_cell_angle_alpha 90.00
_cell_angle_beta 90.00
_cell_angle_gamma 90.00
loop_
_space_group_symop_operation_xyz
'x,y,z'
'-y,x,z'
'-x,-y,z'
'y,-x,z'
'-x,y,z'
'y,x,z'
'x,-y,z'
'-y,-x,z'
loop_
_atom_site_label
_atom_site_type_symbol
_atom_site_fract_x
_atom_site_fract_y
_atom_site_fract_z
Y1 Y 0.000 0.000 0.000
Zr1 Zr 0.000 0.000 0.447
Zr2 Zr 0.500 0.500 0.702
Zn1 Zn 0.500 0.500 0.241
```

A geometry-optimized InNi structure, computed with GGA-PBEsol.

## Properties
Total moment (μB per formula unit): 0.00
D(E_F) (states/eV per cell): 2.36
Formation energy (kJ/mol of atoms): 2.54

CIF file:
```
data_InNi
_chemical_formula_sum 'In2 Ni2'
_space_group_name_H-M_alt 'P 4/n m m'
_space_group_IT_number 129
_cell_length_a 3.074
_cell_length_b 3.074
_cell_length_c 6.771
_cell_angle_alpha 90.00
_cell_angle_beta 90.00
_cell_angle_gamma 90.00
loop_
_space_group_symop_operation_xyz
'x,y,z'
'-x,-y,-z'
'-y+1/2,x,z'
'y+1/2,-x,-z'
'-x+1/2,-y+1/2,z'
'x+1/2,y+1/2,-z'
'y,-x+1/2,z'
'-y,x+1/2,-z'
'x+1/2,-y,-z'
'-x+1/2,y,z'
'-y,-x,-z'
'y,x,z'
'-x,y+1/2,-z'
'x,-y+1/2,z'
'y+1/2,x+1/2,-z'
'-y+1/2,-x+1/2,z'
loop_
_atom_site_label
_atom_site_type_symbol
_atom_site_fract_x
_atom_site_fract_y
_atom_site_fract_z
In1 In 0.250 0.250 0.189
Ni1 Ni 0.250 0.250 0.594
```

A geometry-optimized K3Cu3P2 structure, computed with GGA-PBEsol.

## Properties
Total moment (μB per formula unit): 0.00
Formation energy (kJ/mol of atoms): -28.82

CIF file:
```
data_K3Cu3P2
_chemical_formula_sum 'K9 Cu9 P6'
_space_group_name_H-M_alt 'R -3 m'
_space_group_IT_number 166
_space_group_name_Hall '-R 3 2"'
_cell_length_a 5.5847
_cell_length_b 5.5847
_cell_length_c 19.8307
_cell_angle_alpha 90.00
_cell_angle_beta 90.00
_cell_angle_gamma 120.00
loop_
_atom_site_label
_atom_site_type_symbol
_atom_site_fract_x
_atom_site_fract_y
_atom_site_fract_z
K1 K 0.0000 0.0000 0.0000
K2 K 0.0000 0.0000 0.4083
Cu1 Cu 0.0000 0.5000 0.5000
P1 P 0.0000 0.0000 0.2444
```

A geometry-optimized Ta4Cu2O11 structure, computed with GGA-PBEsol.

## Properties
Total moment (μB per formula unit): 0.00
Raw formation energy (kJ per mole of atoms): -229.2

CIF file:
```
data_Ta4Cu2O11
_chemical_formula_sum 'Ta16 Cu8 O44'
_space_group_name_H-M_alt 'C 1 2/c 1'
_space_group_IT_number 15
_cell_length_a 10.714
_cell_length_b 6.216
_cell_length_c 12.993
_cell_angle_alpha 90.00
_cell_angle_beta 105.94
_cell_angle_gamma 90.00
loop_
_space_group_symop_operation_xyz
'x,y,z'
'-x,-y,-z'
'-x,y,-z+1/2'
'x,-y,z+1/2'
'x+1/2,y+1/2,z'
'-x+1/2,-y+1/2,-z'
'-x+1/2,y+1/2,-z+1/2'
'x+1/2,-y+1/2,z+1/2'
loop_
_atom_site_label
_atom_site_type_symbol
_atom_site_fract_x
_atom_site_fract_y
_atom_site_fract_z
Ta1 Ta 0.000 0.099 0.250
Ta2 Ta 0.183 0.447 0.751
Ta3 Ta 0.250 0.250 0.500
Cu1 Cu 0.000 0.000 0.000
Cu2 Cu 0.000 0.500 0.000
O1 O 0.000 0.487 0.250
O2 O 0.081 0.130 0.407
O3 O 0.126 0.139 0.751
O4 O 0.156 0.235 0.221
O5 O 0.158 0.417 0.590
O6 O 0.235 0.490 0.401
```